Pm2Ni3 | PBE | optimized geometry

Calculated values
- energy relative to the lowest polymorph listed for this composition (meV per atom) = 5
- VASP energy (eV per atom) = -5.708

Cell: 3.9431 4.0394 12.4906 Å, 90.00 99.08 90.00°
Closest atoms and distances in Å follow each position.
Positions (direct):
Pm (0.2984, 0.7500, 0.5968)  7 Ni 2.85-3.13
Pm (0.4302, 0.2500, 0.8604)  12 Ni 3.04-3.19
Pm (0.7016, 0.2500, 0.4032)  7 Ni 2.85-3.13
Pm (0.5698, 0.7500, 0.1396)  12 Ni 3.04-3.19
Ni (0.1715, 0.7500, 0.3430)  2 Ni 2.41
Ni (0.8285, 0.2500, 0.6570)  2 Ni 2.41
Ni (0.8819, 0.7500, 0.7638)  3 Ni 2.33-2.41
Ni (0.1181, 0.2500, 0.2362)  3 Ni 2.33-2.41
Ni (0.9762, 0.7500, 0.9524)  3 Ni 2.33-2.34
Ni (0.0238, 0.2500, 0.0476)  3 Ni 2.33-2.34